No. 1
! Sm2AsI2 PBE relaxed; values from VASP
&SYSTEM
  ibrav = 0, nat = 15, ntyp = 3
/
ATOMIC_SPECIES
Sm 150.36 Sm.upf
As 74.92 As.upf
I 126.90 I.upf
CELL_PARAMETERS angstrom
4.266 0.000 0.000
-2.133 3.695 0.000
0.000 0.000 34.437
ATOMIC_POSITIONS crystal
Sm 0.000 0.000 0.121
Sm 0.000 0.000 0.879
Sm 0.333 0.667 0.546
Sm 0.333 0.667 0.787
Sm 0.667 0.333 0.213
Sm 0.667 0.333 0.454
As 0.000 0.000 0.500
As 0.333 0.667 0.167
As 0.667 0.333 0.833
I 0.000 0.000 0.272
I 0.000 0.000 0.728
I 0.333 0.667 0.394
I 0.333 0.667 0.939
I 0.667 0.333 0.061
I 0.667 0.333 0.606
! Symmetry = R-3m, No. 166
! Crystal system = trigonal

***

No. 2
! Zn2SnAs4I PBE relaxed; values from VASP
&SYSTEM
  ibrav = 0, nat = 16, ntyp = 4
/
ATOMIC_SPECIES
Zn 65.41 Zn.upf
Sn 118.71 Sn.upf
As 74.92 As.upf
I 126.90 I.upf
CELL_PARAMETERS angstrom
5.832 0.000 0.000
0.000 5.832 0.000
0.000 0.000 13.887
ATOMIC_POSITIONS crystal
Zn 0.000 0.000 0.000
Zn 0.000 0.500 0.250
Zn 0.500 0.000 0.750
Zn 0.500 0.500 0.500
Sn 0.000 0.000 0.500
Sn 0.500 0.500 0.000
As 0.137 0.334 0.095
As 0.166 0.637 0.405
As 0.334 0.863 0.905
As 0.363 0.166 0.595
As 0.637 0.834 0.595
As 0.666 0.137 0.905
As 0.834 0.363 0.405
As 0.863 0.666 0.095
I 0.000 0.500 0.750
I 0.500 0.000 0.250
! Symmetry = I-4, No. 82
! Crystal system = tetragonal

***

No. 3
! AsWI6 PBE relaxed; values from VASP
&SYSTEM
  ibrav = 0, nat = 8, ntyp = 3
/
ATOMIC_SPECIES
As 74.92 As.upf
W 183.84 W.upf
I 126.90 I.upf
CELL_PARAMETERS angstrom
0.000 5.449 5.449
5.449 0.000 5.449
5.449 5.449 0.000
ATOMIC_POSITIONS crystal
As 0.000 0.000 0.000
W 0.250 0.250 0.250
I 0.002 0.002 0.498
I 0.002 0.498 0.002
I 0.002 0.498 0.498
I 0.498 0.002 0.002
I 0.498 0.002 0.498
I 0.498 0.498 0.002
! Symmetry = F-43m, No. 216
! Crystal system = cubic

***

No. 4
! Zn2AsI PBE relaxed; values from VASP
&SYSTEM
  ibrav = 0, nat = 16, ntyp = 3
/
ATOMIC_SPECIES
Zn 65.41 Zn.upf
As 74.92 As.upf
I 126.90 I.upf
CELL_PARAMETERS angstrom
6.105 0.000 0.000
0.000 6.105 0.000
0.000 0.000 12.129
ATOMIC_POSITIONS crystal
Zn 0.175 0.750 0.125
Zn 0.250 0.175 0.875
Zn 0.250 0.325 0.375
Zn 0.325 0.750 0.625
Zn 0.675 0.250 0.625
Zn 0.750 0.675 0.375
Zn 0.750 0.825 0.875
Zn 0.825 0.250 0.125
As 0.000 0.000 0.000
As 0.000 0.500 0.250
As 0.500 0.000 0.750
As 0.500 0.500 0.500
I 0.000 0.000 0.500
I 0.000 0.500 0.750
I 0.500 0.000 0.250
I 0.500 0.500 0.000
! Symmetry = I-42d, No. 122
! Crystal system = tetragonal

***

Record-wise E values, in eV per atom: -4.9365, -3.3062, -3.0240, -2.5083
Record-wise calculated volume values, in Å³/cell: 543, 472, 324, 452